Compound: Cs2MnPdCl6
Source: the Alexandria database
Functional: PBE
Structure: relaxed Values from VASP.

Output
Formation energy (no corrections) ... -1.280 eV per atom
Offset from the most stable computed form ... 0.0 kJ/mol of formula units
SG ... R-3m
Uncorrected energy ... -79.9 eV/cell

```
&SYSTEM
  ibrav = 0, nat = 20, ntyp = 4
/
ATOMIC_SPECIES
Cs 132.91 Cs.upf
Mn 54.94 Mn.upf
Pd 106.42 Pd.upf
Cl 35.45 Cl.upf
ATOMIC_POSITIONS crystal
Cs 0.8752 0.8752 0.3745
Cs 0.1248 0.1248 0.6255
Cs 0.7079 0.7079 0.8762
Cs 0.2921 0.2921 0.1238
Mn 0.5888 0.5888 0.2336
Mn 0.4112 0.4112 0.7664
Pd 0.0000 0.0000 0.0000
Pd 0.5000 0.5000 0.5000
Cl 0.8554 0.3888 0.3670
Cl 0.3888 0.8554 0.3670
Cl 0.3888 0.3888 0.3670
Cl 0.1446 0.6112 0.6330
Cl 0.6112 0.1446 0.6330
Cl 0.6112 0.6112 0.6330
Cl 0.7022 0.2108 0.8762
Cl 0.2108 0.7022 0.8762
Cl 0.2108 0.2108 0.8762
Cl 0.2978 0.7892 0.1238
Cl 0.7892 0.2978 0.1238
Cl 0.7892 0.7892 0.1238
CELL_PARAMETERS angstrom
7.3222 0.0000 0.0000
3.6611 6.3412 0.0000
3.6611 2.1137 12.0810
```